First-principles (PBE) data for an optimized crystal structure of MnRuCl4, as listed in the Alexandria database.

raw formation energy: 1.145 eV per atom
total magnetic moment: 9.5 μB per formula unit
theoretical density: 3.65 g/cm3
DFT total energy: -3.160 eV per atom

Cell: 8.151 8.151 8.151 Å, 90.00 90.00 90.00°
Space group F-43m (No. 216)
Symmetry-distinct sites (fractional):
Mn 0.000 0.000 0.000
Ru 0.250 0.250 0.750
Cl 0.125 0.125 0.375



First-principles (PBE) data for an optimized crystal structure of HoHgPb3, as listed in the Alexandria database.

E above lowest polymorph: 0.00 eV per formula unit
total magnetic moment: 0.0 μB per formula unit
formation energy from the elements: -116 meV per atom
theoretical density: 11.20 g/cm3
DFT total energy: -3.317 eV per atom

Cell: 6.039 6.449 8.073 Å, 90.00 111.46 90.00°
Space group P2_1/m (No. 11)
Symmetry-distinct sites (fractional):
Ho 0.168 0.250 0.200
Hg 0.033 0.750 0.208
Pb 0.296 0.000 0.596
Pb 0.408 0.750 0.993



Question: What is the DFT total energy in the second record?
Answer: -3.317 eV per atom



What did the first record say?
First-principles (PBE) data for an optimized crystal structure of MnRuCl4, as listed in the Alexandria database.

raw formation energy: 1.145 eV per atom
total magnetic moment: 9.5 μB per formula unit
theoretical density: 3.65 g/cm3
DFT total energy: -3.160 eV per atom

Cell: 8.151 8.151 8.151 Å, 90.00 90.00 90.00°
Space group F-43m (No. 216)
Symmetry-distinct sites (fractional):
Mn 0.000 0.000 0.000
Ru 0.250 0.250 0.750
Cl 0.125 0.125 0.375